Entry 1:
First-principles (PBE) data for an optimized crystal structure of KZnIr2, as listed in the Alexandria database.

Theoretical density = 11.95 g/cm3
E = -4.6466 eV/atom

a = 9.856 Å, b = 9.856 Å, c = 9.856 Å
α = 16.58°, β = 16.58°, γ = 16.58°
Fractional positions:
K  0.000  0.000  0.000
Zn  0.500  0.500  0.500
Ir  0.237  0.237  0.237
Ir  0.763  0.763  0.763



Entry 2:
First-principles (PBE) data for an optimized crystal structure of KZn2Ir, as listed in the Alexandria database.

Theoretical density = 8.10 g/cm3
E = -2.7976 eV/atom

a = 10.118 Å, b = 10.118 Å, c = 10.118 Å
α = 16.66°, β = 16.66°, γ = 16.66°
Fractional positions:
K  0.000  0.000  0.000
Zn  0.235  0.235  0.235
Zn  0.765  0.765  0.765
Ir  0.500  0.500  0.500



Entry 3:
First-principles (PBE) data for an optimized crystal structure of KZnIr2, as listed in the Alexandria database.

Theoretical density = 11.81 g/cm3
E = -4.3196 eV/atom

a = 5.728 Å, b = 5.728 Å, c = 2.730 Å
α = 103.07°, β = 103.07°, γ = 120.45°
Fractional positions:
K  0.000  0.000  0.000
Zn  0.500  0.500  0.000
Ir  0.000  0.500  0.500
Ir  0.500  0.000  0.500



Entry 4:
First-principles (PBE) data for an optimized crystal structure of KZnIr2, as listed in the Alexandria database.

Theoretical density = 11.55 g/cm3
E = -4.1440 eV/atom

a = 4.632 Å, b = 4.632 Å, c = 4.632 Å
α = 60.00°, β = 60.00°, γ = 60.00°
Fractional positions:
K  0.000  0.000  0.000
Zn  0.750  0.750  0.750
Ir  0.250  0.250  0.250
Ir  0.500  0.500  0.500



Entry 5:
First-principles (PBE) data for an optimized crystal structure of KZn2Ir, as listed in the Alexandria database.

Theoretical density = 6.51 g/cm3
E = -3.0357 eV/atom

a = 2.950 Å, b = 4.165 Å, c = 7.516 Å
α = 90.00°, β = 90.12°, γ = 90.00°
Fractional positions:
K  0.000  0.000  0.000
Zn  0.508  0.500  0.346
Zn  0.509  0.000  0.606
Ir  0.010  0.500  0.622



Entry 6:
First-principles (PBE) data for an optimized crystal structure of KZn2Ir, as listed in the Alexandria database.

Theoretical density = 7.89 g/cm3
E = -2.7650 eV/atom

a = 6.050 Å, b = 6.050 Å, c = 6.050 Å
α = 153.00°, β = 130.32°, γ = 57.45°
Fractional positions:
K  0.000  0.000  0.000
Zn  0.291  0.791  0.500
Zn  0.528  0.528  0.000
Ir  0.725  0.225  0.500



Number 1: total magnetization 0.3 μB per formula unit. Number 2: total magnetization 0.3 μB per formula unit. Number 3: total magnetization 0.0 μB per formula unit. Number 4: total magnetization 1.1 μB per formula unit. Number 5: total magnetization 0.0 μB per formula unit. Number 6: total magnetization 0.3 μB per formula unit.